one:
Computed, not measured: an optimized crystal structure of CuSiTcMo at the PBE-GGA level of DFT.

Geometry as POSCAR:
```
CuSiTcMo
1.0
0.0000 2.9979 2.9979
2.9979 0.0000 2.9979
2.9979 2.9979 0.0000
Cu Mo Si Tc
1 1 1 1
Cartesian
4.4968 4.4968 4.4968 Cu
0.0000 0.0000 0.0000 Mo
1.4989 1.4989 1.4989 Si
2.9979 2.9979 2.9979 Tc
```

Values from the calculation:
symmetry = F-43m, No. 216
size of the total moment = 0.00 μB per atom

***

two:
Computed, not measured: an optimized crystal structure of CuSiTcMo at the PBE-GGA level of DFT.

Geometry as POSCAR:
```
CuSiTcMo
1.0
0.0000 3.0155 3.0155
3.0155 0.0000 3.0155
3.0155 3.0155 0.0000
Cu Mo Si Tc
1 1 1 1
Cartesian
4.5233 4.5233 4.5233 Cu
3.0155 3.0155 3.0155 Mo
0.0000 0.0000 0.0000 Si
1.5078 1.5078 1.5078 Tc
```

Values from the calculation:
symmetry = F-43m, No. 216
size of the total moment = 0.00 μB per atom

***

Result of the stability comparison: two is the most stable of them.

***

one:
Computed, not measured: an optimized crystal structure of YCuSiMo at the PBE-GGA level of DFT.

Geometry as POSCAR:
```
YCuSiMo
1.0
0.0000 3.2814 3.2814
3.2814 0.0000 3.2814
3.2814 3.2814 0.0000
Cu Mo Si Y
1 1 1 1
Cartesian
4.9221 4.9221 4.9221 Cu
3.2814 3.2814 3.2814 Mo
0.0000 0.0000 0.0000 Si
1.6407 1.6407 1.6407 Y
```

Values from the calculation:
symmetry = F-43m, No. 216
size of the total moment = 0.41 μB per atom

***

two:
Computed, not measured: an optimized crystal structure of YCuSiMo at the PBE-GGA level of DFT.

Geometry as POSCAR:
```
YCuSiMo
1.0
0.0000 3.2101 3.2101
3.2101 0.0000 3.2101
3.2101 3.2101 0.0000
Cu Mo Si Y
1 1 1 1
Cartesian
4.8151 4.8151 4.8151 Cu
1.6050 1.6050 1.6050 Mo
0.0000 0.0000 0.0000 Si
3.2101 3.2101 3.2101 Y
```

Values from the calculation:
symmetry = F-43m, No. 216
size of the total moment = 0.00 μB per atom

***

Result of the stability comparison: two is the most stable of them.

***

one:
Computed, not measured: an optimized crystal structure of ZnCuSnMo at the PBE-GGA level of DFT.

Geometry as POSCAR:
```
ZnCuSnMo
1.0
-3.5014 0.4735 2.8389
-0.9851 4.0746 1.7235
-3.7319 2.1896 -1.3498
Cu Mo Sn Zn
1 1 1 1
Cartesian
-6.1638 5.0533 2.4094 Cu
-4.1092 3.3689 1.6063 Mo
0.0000 0.0000 0.0000 Sn
-2.0546 1.6844 0.8031 Zn
```

Values from the calculation:
symmetry = F-43m, No. 216
size of the total moment = 0.53 μB per atom

***

two:
Computed, not measured: an optimized crystal structure of ZnCuSnMo at the PBE-GGA level of DFT.

Geometry as POSCAR:
```
ZnCuSnMo
1.0
2.8886 0.1428 3.4516
-1.4180 -0.9632 4.1640
1.3108 -3.8165 1.9984
Cu Mo Sn Zn
1 1 1 1
Cartesian
2.0860 -3.4777 7.2105 Cu
0.6953 -1.1592 2.4035 Mo
0.0000 0.0000 0.0000 Sn
1.3907 -2.3185 4.8070 Zn
```

Values from the calculation:
symmetry = F-43m, No. 216
size of the total moment = 0.06 μB per atom

***

Result of the stability comparison: two is the most stable of them.